# 1
The following is a DFT calculation (PBE-GGA) of a geometry-optimized SrCoH3 structure.

Calculated values
- total moment (μB/f.u.) = 0.2
- ρ (g/cm³) = 5.3
- total DFT energy (no corrections) (eV/cell) = -20.48
- symmetry = Pm-3m, No. 221
- crystal system = cubic

Lattice parameters (Å, degrees): 3.611 3.611 3.611 90.00 90.00 90.00
Sites, in units of the cell vectors:
H: 0.500 0.000 0.000
H: 0.000 0.000 0.500
H: 0.000 0.500 0.000
Co: 0.000 0.000 0.000
Sr: 0.500 0.500 0.500

=====

# 2
The following is a DFT calculation (PBE-GGA) of a geometry-optimized TaCo3H structure.

Calculated values
- total moment (μB/f.u.) = 0.9
- ρ (g/cm³) = 12.1
- total DFT energy (no corrections) (eV/cell) = -37.72
- symmetry = Pm-3m, No. 221
- crystal system = cubic

Lattice parameters (Å, degrees): 3.665 3.665 3.665 90.00 90.00 90.00
Sites, in units of the cell vectors:
H: 0.000 0.000 0.000
Ta: 0.500 0.500 0.500
Co: 0.500 0.000 0.000
Co: 0.000 0.000 0.500
Co: 0.000 0.500 0.000

=====

# 3
The following is a DFT calculation (PBE-GGA) of a geometry-optimized ZnCo3H structure.

Calculated values
- total moment (μB/f.u.) = 3.9
- ρ (g/cm³) = 8.5
- total DFT energy (no corrections) (eV/cell) = -25.83
- symmetry = Pm-3m, No. 221
- crystal system = cubic

Lattice parameters (Å, degrees): 3.626 3.626 3.618 90.00 90.00 90.00
Sites, in units of the cell vectors:
Co: 0.000 0.000 0.500
Co: 0.000 0.500 0.000
Co: 0.500 0.000 0.000
H: 0.000 0.000 0.000
Zn: 0.500 0.500 0.500

=====

# 4
The following is a DFT calculation (PBE-GGA) of a geometry-optimized Zr2CoH5 structure.

Calculated values
- total moment (μB/f.u.) = 0.8
- ρ (g/cm³) = 6.2
- total DFT energy (no corrections) (eV/cell) = -178.11
- symmetry = P4/ncc, No. 130
- crystal system = tetragonal

Lattice parameters (Å, degrees): 6.863 6.863 5.636 90.00 90.00 90.00
Sites, in units of the cell vectors:
H: 0.465 0.166 0.574
H: 0.465 0.334 0.074
H: 0.750 0.250 0.500
H: 0.834 0.535 0.926
H: 0.965 0.666 0.426
H: 0.250 0.750 0.500
H: 0.035 0.166 0.074
H: 0.166 0.035 0.574
H: 0.334 0.465 0.574
H: 0.035 0.334 0.574
H: 0.535 0.834 0.426
H: 0.334 0.035 0.074
H: 0.666 0.965 0.926
H: 0.750 0.250 0.000
H: 0.166 0.465 0.074
H: 0.535 0.666 0.926
H: 0.834 0.965 0.426
H: 0.666 0.535 0.426
H: 0.965 0.834 0.926
H: 0.250 0.750 0.000
Co: 0.750 0.750 0.493
Co: 0.250 0.250 0.007
Co: 0.250 0.250 0.507
Co: 0.750 0.750 0.993
Zr: 0.089 0.589 0.750
Zr: 0.411 0.589 0.250
Zr: 0.089 0.911 0.250
Zr: 0.589 0.089 0.250
Zr: 0.411 0.911 0.750
Zr: 0.911 0.411 0.250
Zr: 0.911 0.089 0.750
Zr: 0.589 0.411 0.750

=====

# 5
The following is a DFT calculation (PBE-GGA) of a geometry-optimized Hf5Co2 structure.

Calculated values
- total moment (μB/f.u.) = 0.0
- ρ (g/cm³) = 12.6
- total DFT energy (no corrections) (eV/cell) = -131.32
- ΔH_f (0 K) (eV per atom) = -0.239
- symmetry = C2/c, No. 15
- crystal system = monoclinic

Lattice parameters (Å, degrees): 7.953 7.953 6.224 95.50 95.50 42.97
Sites, in units of the cell vectors:
Hf: 0.984 0.203 0.927
Hf: 0.203 0.984 0.427
Hf: 0.567 0.433 0.250
Hf: 0.433 0.567 0.750
Hf: 0.016 0.797 0.073
Hf: 0.788 0.651 0.306
Hf: 0.651 0.788 0.806
Hf: 0.212 0.349 0.694
Hf: 0.349 0.212 0.194
Hf: 0.797 0.016 0.573
Co: 0.814 0.408 0.569
Co: 0.592 0.186 0.931
Co: 0.186 0.592 0.431
Co: 0.408 0.814 0.069

=====

# 6
The following is a DFT calculation (PBE-GGA) of a geometry-optimized HfCo2 structure.

Calculated values
- total moment (μB/f.u.) = 0.8
- ρ (g/cm³) = 12.2
- total DFT energy (no corrections) (eV/cell) = -50.55
- ΔH_f (0 K) (eV per atom) = -0.369
- symmetry = Fd-3m, No. 227
- crystal system = cubic

Lattice parameters (Å, degrees): 4.847 4.847 4.847 120.00 90.00 120.00
Sites, in units of the cell vectors:
Hf: 0.750 0.500 0.250
Hf: 0.000 0.000 0.000
Co: 0.875 0.250 0.625
Co: 0.375 0.750 0.625
Co: 0.375 0.250 0.625
Co: 0.375 0.750 0.125

=====

Q: Which of these has the lowest total moment?
A: Hf5Co2

=====

Q: The lowest ρ belongs to which entry?
A: SrCoH3

=====

Q: total moment of number 2 (TaCo3H)?
A: 0.9 μB/f.u.

=====

Q: The lowest ρ belongs to which entry?
A: SrCoH3